Entry 1:
DFT (PBE) results for a geometry-optimized Nd4Th2Sn3N2 structure.

abc: 4.858 4.858 26.158
angles: 90.00 90.00 90.00
Space group I4/mmm (No. 139)
Asymmetric unit:
Nd (0.000, 0.500, 0.082) (multiplicity 8)
Th (0.000, 0.000, 0.192) (multiplicity 4)
Sn (0.000, 0.000, 0.322) (multiplicity 4)
Sn (0.000, 0.000, 0.500) (multiplicity 2)
N (0.000, 0.000, 0.108) (multiplicity 4)

formation energy from raw total energies	-88	kJ per mole of atoms

---

Entry 2:
DFT (PBE) results for a geometry-optimized CaLuZnPd structure.

abc: 7.027 7.027 7.027
angles: 90.00 90.00 90.00
Space group F-43m (No. 216)
Asymmetric unit:
Ca (0.000, 0.000, 0.000) (multiplicity 4)
Lu (0.000, 0.000, 0.500) (multiplicity 4)
Zn (0.250, 0.250, 0.750) (multiplicity 4)
Pd (0.250, 0.250, 0.250) (multiplicity 4)

DFT total energy	-3.754	eV per atom

---

Entry 3:
DFT (PBE) results for a geometry-optimized LiPd2F6 structure.

abc: 10.051 10.354 5.588
angles: 90.00 96.10 90.00
Space group C2/c (No. 15)
Asymmetric unit:
Li (0.000, 0.227, 0.250) (multiplicity 4)
Pd (0.242, 0.083, 0.421) (multiplicity 8)
F (0.129, 0.218, 0.553) (multiplicity 8)
F (0.135, 0.119, 0.115) (multiplicity 8)
F (0.152, 0.451, 0.252) (multiplicity 8)

formation energy from raw total energies	-148	kJ per mole of atoms

---

Entry 4:
DFT (PBE) results for a geometry-optimized ZrPbIO2 structure.

abc: 4.301 4.301 6.049
angles: 90.00 90.00 90.00
Space group P4/mmm (No. 123)
Asymmetric unit:
Zr (0.000, 0.000, 0.000) (multiplicity 1)
Pb (0.500, 0.500, 0.500) (multiplicity 1)
I (0.000, 0.000, 0.500) (multiplicity 1)
O (0.000, 0.500, 0.000) (multiplicity 2)

E above lowest polymorph	0.000	eV/atom
formation energy from raw total energies	-121	kJ per mole of atoms

---

no.,calculated volume (Å³/f.u.)
1,308.7
2,86.7
3,144.5
4,111.9